1.
# Ac2PaSb

A relaxed structure of Ac2PaSb (GGA-PBE, Alexandria).

- Relative energy among the computed polymorphs: 0.266 eV/atom
- Symmetry: Fm-3m (225)
- Uncorrected formation energy: 3.738 kcal/mol of atoms
- Total energy: -5.30 eV/atom
- Magnetic moment: 2.5 μB per formula unit

a = 5.787 Å, b = 5.787 Å, c = 5.787 Å
α = 60.00°, β = 60.00°, γ = 60.00°
Fractional coordinates of all 4 atoms:
Pa  0.500  0.500  0.500
Sb  0.000  0.000  0.000
Ac  0.250  0.250  0.250
Ac  0.750  0.750  0.750

2.
# PmSm2Tm5

A relaxed structure of PmSm2Tm5 (GGA-PBE, Alexandria).

- Relative energy among the computed polymorphs: 0.000 eV/atom
- Symmetry: I4/mmm (139)
- Total energy: -4.55 eV/atom
- Magnetic moment: 0.0 μB per formula unit

a = 7.103 Å, b = 7.103 Å, c = 7.064 Å
α = 120.17°, β = 120.18°, γ = 90.00°
Fractional coordinates of all 8 atoms:
Sm  0.722  0.222  0.444
Sm  0.222  0.722  0.444
Tm  0.722  0.722  0.445
Tm  0.222  0.222  0.944
Tm  0.722  0.222  0.944
Tm  0.722  0.722  0.944
Tm  0.222  0.722  0.944
Pm  0.222  0.222  0.444

3.
# NaBiO2

A relaxed structure of NaBiO2 (GGA-PBE, Alexandria).

- Symmetry: R-3m (166)
- Uncorrected formation energy: -30.159 kcal/mol of atoms
- Total energy: -5.09 eV/atom
- Magnetic moment: 0.0 μB per formula unit

a = 3.539 Å, b = 3.539 Å, c = 6.085 Å
α = 73.09°, β = 73.09°, γ = 60.00°
Fractional coordinates of all 4 atoms:
O  0.744  0.744  0.769
Bi  0.000  0.000  0.000
O  0.256  0.256  0.231
Na  0.500  0.500  0.500

4.
# TmMg2TaN4

A relaxed structure of TmMg2TaN4 (GGA-PBE, Alexandria).

- Symmetry: P2/m (10)
- Uncorrected formation energy: -27.878 kcal/mol of atoms
- Total energy: -7.81 eV/atom
- Magnetic moment: 0.0 μB per formula unit

a = 3.203 Å, b = 5.601 Å, c = 5.463 Å
α = 109.75°, β = 90.00°, γ = 90.00°
Fractional coordinates of all 8 atoms:
N  0.500  0.228  0.235
Mg  0.000  0.500  0.500
Mg  0.500  0.000  0.500
N  0.500  0.772  0.765
Ta  0.000  0.000  0.000
N  0.000  0.771  0.238
Tm  0.500  0.500  0.000
N  0.000  0.229  0.762

5.
# YBeAu3

A relaxed structure of YBeAu3 (GGA-PBE, Alexandria).

- Relative energy among the computed polymorphs: 0.402 eV/atom
- Symmetry: Cmcm (63)
- Total energy: -4.17 eV/atom
- Magnetic moment: 0.0 μB per formula unit

a = 6.722 Å, b = 6.722 Å, c = 5.244 Å
α = 90.00°, β = 90.00°, γ = 116.92°
Fractional coordinates of all 10 atoms:
Au  0.496  0.121  0.250
Be  0.164  0.836  0.250
Au  0.000  0.000  0.500
Au  0.504  0.879  0.750
Au  0.121  0.496  0.750
Y  0.400  0.600  0.250
Y  0.600  0.400  0.750
Au  0.879  0.504  0.250
Be  0.836  0.164  0.750
Au  0.000  0.000  0.000

6.
# Tb6Nd3Er2

A relaxed structure of Tb6Nd3Er2 (GGA-PBE, Alexandria).

- Relative energy among the computed polymorphs: 0.163 eV/atom
- Symmetry: I4/mmm (139)
- Total energy: -4.38 eV/atom
- Magnetic moment: 0.0 μB per formula unit

a = 4.771 Å, b = 4.771 Å, c = 16.991 Å
α = 98.07°, β = 98.07°, γ = 90.00°
Fractional coordinates of all 11 atoms:
Er  0.546  0.546  0.092
Nd  0.203  0.203  0.406
Tb  0.880  0.380  0.760
Tb  0.380  0.880  0.760
Er  0.454  0.454  0.908
Nd  0.000  0.000  0.000
Tb  0.307  0.307  0.613
Nd  0.797  0.797  0.594
Tb  0.120  0.620  0.240
Tb  0.693  0.693  0.387
Tb  0.620  0.120  0.240

7.
# CsBeN2F

A relaxed structure of CsBeN2F (GGA-PBE, Alexandria).

- Relative energy among the computed polymorphs: 0.000 eV/atom
- Symmetry: P4/mmm (123)
- Uncorrected formation energy: 6.009 kcal/mol of atoms
- Total energy: -4.36 eV/atom
- Magnetic moment: 1.8 μB per formula unit

a = 3.630 Å, b = 3.630 Å, c = 6.505 Å
α = 90.00°, β = 90.00°, γ = 90.00°
Fractional coordinates of all 5 atoms:
Be  0.000  0.000  0.000
N  0.500  0.000  0.000
N  0.000  0.500  0.000
Cs  0.500  0.500  0.500
F  0.000  0.000  0.500

8.
# CsMgP

A relaxed structure of CsMgP (GGA-PBE, Alexandria).

- Symmetry: P-6m2 (187)
- Total energy: -3.09 eV/atom
- Magnetic moment: 0.0 μB per formula unit

a = 5.890 Å, b = 4.402 Å, c = 4.402 Å
α = 120.00°, β = 90.00°, γ = 90.00°
Fractional coordinates of all 3 atoms:
Cs  0.667  0.667  0.333
P  0.166  0.000  0.000
Mg  0.167  0.333  0.667

9.
# LiAg5F12

A relaxed structure of LiAg5F12 (GGA-PBE, Alexandria).

- Symmetry: Cmmm (65)
- Uncorrected formation energy: -29.924 kcal/mol of atoms
- Total energy: -3.44 eV/atom
- Magnetic moment: 0.1 μB per formula unit

a = 4.968 Å, b = 4.968 Å, c = 10.587 Å
α = 90.00°, β = 90.00°, γ = 90.29°
Fractional coordinates of all 18 atoms:
Ag  0.500  0.500  0.500
F  0.700  0.300  0.669
F  0.288  0.712  0.000
F  0.794  0.794  0.834
Ag  0.000  0.000  0.674
F  0.300  0.700  0.669
F  0.712  0.288  0.000
F  0.206  0.206  0.166
F  0.700  0.300  0.331
F  0.206  0.206  0.834
Li  0.000  0.000  0.000
Ag  0.500  0.500  0.158
Ag  0.500  0.500  0.842
F  0.198  0.198  0.500
F  0.794  0.794  0.166
F  0.300  0.700  0.331
F  0.802  0.802  0.500
Ag  0.000  0.000  0.326

10.
# ErScTi

A relaxed structure of ErScTi (GGA-PBE, Alexandria).

- Relative energy among the computed polymorphs: 0.027 eV/atom
- Symmetry: I4/mmm (139)
- Total energy: -6.08 eV/atom
- Magnetic moment: 0.0 μB per formula unit

a = 3.379 Å, b = 3.379 Å, c = 13.458 Å
α = 97.21°, β = 97.21°, γ = 90.00°
Fractional coordinates of all 6 atoms:
Sc  0.842  0.842  0.685
Ti  0.272  0.272  0.543
Sc  0.158  0.158  0.315
Er  0.436  0.436  0.872
Ti  0.728  0.728  0.457
Er  0.564  0.564  0.128

11.
# LaTb2Pm5Sc

A relaxed structure of LaTb2Pm5Sc (GGA-PBE, Alexandria).

- Symmetry: Cmc2_1 (36)
- Total energy: -4.76 eV/atom
- Magnetic moment: 0.0 μB per formula unit

a = 5.687 Å, b = 10.432 Å, c = 10.530 Å
α = 90.00°, β = 90.00°, γ = 105.82°
Fractional coordinates of all 18 atoms:
Pm  0.484  0.969  0.742
Sc  0.196  0.392  0.013
Pm  0.297  0.593  0.706
Pm  0.374  0.749  0.019
Pm  0.018  0.036  0.019
Tb  0.115  0.231  0.734
Tb  0.887  0.775  0.813
Sc  0.804  0.608  0.513
Pm  0.982  0.964  0.519
Pm  0.516  0.031  0.242
Pm  0.703  0.407  0.206
La  0.413  0.827  0.457
Pm  0.277  0.554  0.322
Pm  0.626  0.251  0.519
La  0.587  0.173  0.957
Pm  0.723  0.446  0.822
Tb  0.885  0.769  0.234
Tb  0.113  0.225  0.313

12.
# In2Ag5F12

A relaxed structure of In2Ag5F12 (GGA-PBE, Alexandria).

- Relative energy among the computed polymorphs: 0.000 eV/atom
- Symmetry: C2/m (12)
- Uncorrected formation energy: -37.680 kcal/mol of atoms
- Total energy: -3.85 eV/atom
- Magnetic moment: 0.4 μB per formula unit

a = 6.653 Å, b = 7.064 Å, c = 8.100 Å
α = 105.01°, β = 90.00°, γ = 118.09°
Fractional coordinates of all 19 atoms:
Ag  0.000  0.000  0.500
In  0.752  0.000  0.000
F  0.637  0.741  0.465
F  0.575  0.666  0.865
F  0.526  0.053  0.846
F  0.090  0.666  0.865
F  0.363  0.259  0.535
Ag  0.300  0.600  0.264
Ag  0.293  0.587  0.615
Ag  0.700  0.400  0.736
F  0.105  0.741  0.465
In  0.248  0.000  0.000
F  0.972  0.944  0.152
F  0.895  0.259  0.535
F  0.028  0.056  0.848
F  0.474  0.947  0.154
Ag  0.707  0.413  0.385
F  0.910  0.334  0.135
F  0.425  0.334  0.135

- Which value of magnetic moment does entry 8 give?
  0.0 μB per formula unit